CaGaP2O: relaxed, PBE-GGA.

The spin magnetization comes out at 0.0 Bohr magnetons per cell. The formation energy without anion corrections comes out at -0.295 eV per atom. The density of states at the Fermi level is 4.5 states/eV per cell. As for the energy above the most stable polymorph in this dataset: 0.000 eV per atom. As for the total energy: -22.283 eV for the cell shown.

It has space group P4/mmm (No. 123), with a = 5.146 Å, b = 5.146 Å, c = 3.600 Å, α = 90.00°, β = 90.00° and γ = 90.00°. The asymmetric unit holds Ca at (0.000, 0.000, 0.000), Ga at (0.500, 0.500, 0.500), P at (0.000, 0.500, 0.500) and O at (0.500, 0.500, 0.000).